An optimized crystal structure of Cd2CuBrN, computed with PBE-GGA.

Lattice parameters (Å, degrees): 5.7207 3.6887 5.7207 90.00 90.00 90.00
Sites, in units of the cell vectors:
N1 0.0000 0.5000 0.0000
Cu1 0.5000 0.5000 0.5000
Br1 0.0000 0.0000 0.0000
Cd1 0.0000 0.0000 0.5000
Cd2 0.5000 0.0000 0.0000

Results
Magnetization ... 0.00 μB/atom
Total energy ... -1.794 eV/atom
Uncorrected formation energy ... 1.391 eV per atom
Symmetry ... P4/mmm (123)